First-principles (GGA-PBE) data for crystalline Gd2GePb at its relaxed geometry, as listed in the Alexandria database.

Calculated volume in A^3/atom: 25.93
Polymorph energy (0 for the lowest one) in meV/atom: 0.0
D(E_F) in states/eV/f.u.: 2.43

Cell lengths 3.4402, 3.4402, 8.7636 Å; angles 90.00, 90.00, 90.00 degrees
Last column: nearest neighbours and their distance in Å.
Space group P4/mmm (No. 123)
Unique sites:
Gd: 0.0000 0.0000 0.2211 x2  4 Ge 3.11, 4 Gd 3.44, 4 Pb 3.45
Ge: 0.5000 0.5000 0.0000 x1  8 Gd 3.11, 4 Ge 3.44
Pb: 0.5000 0.5000 0.5000 x1  4 Pb 3.44, 8 Gd 3.45